Tb2Ho4Mg (PBE-GGA, relaxed); magnetic moment = 0.00 μB per formula unit; formation energy from the elements = 1.46 eV per formula unit; final energy = -110.8 eV/cell
1.0
6.6576 -10.0004 0.0000
6.6576 10.0004 0.0000
0.0000 0.0000 6.6489
Tb Ho Mg
8 16 4
direct
0.9997 0.4997 0.2500 Tb
0.0003 0.5003 0.7500 Tb
0.0006 0.9994 0.7500 Tb
0.4994 0.5006 0.7500 Tb
0.5003 0.0003 0.2500 Tb
0.4997 0.9997 0.7500 Tb
0.5006 0.4994 0.2500 Tb
0.9994 0.0006 0.2500 Tb
0.0521 0.2918 0.5005 Ho
0.0985 0.7692 0.0003 Ho
0.2082 0.4479 0.0005 Ho
0.2308 0.9015 0.4997 Ho
0.2692 0.5985 0.4997 Ho
0.2918 0.0521 0.0005 Ho
0.4015 0.7308 0.0003 Ho
0.4479 0.2082 0.5005 Ho
0.5521 0.7918 0.4995 Ho
0.5985 0.2692 0.9997 Ho
0.7082 0.9479 0.9995 Ho
0.7308 0.4015 0.5003 Ho
0.7692 0.0985 0.5003 Ho
0.7918 0.5521 0.9995 Ho
0.9015 0.2308 0.9997 Ho
0.9479 0.7082 0.4995 Ho
0.2500 0.2500 0.2507 Mg
0.2500 0.2500 0.7507 Mg
0.7500 0.7500 0.2493 Mg
0.7500 0.7500 0.7493 Mg